(1)
Entry from Alexandria via LeMat-Bulk: a relaxed structure of ThGaTc (PBE).

Values from the calculation:
Its uncorrected energy is -22.1 eV/f.u. Its space group is Pnma. Its formation energy is -0.43 eV/atom. The total moment is 0.00 μB/f.u. The energy above the most stable polymorph in this dataset comes out at 0 meV/atom.

The structure in POSCAR format:
```
ThGaTc
1.0
4.803 0.000 0.000
0.000 7.116 0.000
0.000 0.000 7.321
Th Ga Tc
4 4 4
direct
0.250 0.799 0.467
0.750 0.299 0.033
0.250 0.701 0.967
0.750 0.201 0.533
0.750 0.880 0.199
0.750 0.620 0.699
0.250 0.120 0.801
0.250 0.380 0.301
0.750 0.533 0.345
0.750 0.967 0.845
0.250 0.033 0.155
0.250 0.467 0.655
```

***

(2)
Entry from Alexandria via LeMat-Bulk: a relaxed structure of Th2Ga2Tc (PBE).

Values from the calculation:
Its uncorrected energy is -33.3 eV/f.u. Its space group is C2/m. Its formation energy is -0.41 eV/atom. The total moment is 0.00 μB/f.u.

The structure in POSCAR format:
```
Th2Ga2Tc
1.0
-2.152 -1.463 3.582
-1.825 -5.532 -0.620
7.112 -3.656 5.517
Th Ga Tc
4 4 2
direct
0.303 0.281 0.113
0.504 0.314 0.678
0.697 0.719 0.887
0.496 0.686 0.322
0.992 0.133 0.884
0.143 0.277 0.436
0.008 0.867 0.116
0.857 0.723 0.564
0.779 0.069 0.373
0.221 0.931 0.627
```

***

(3)
Entry from Alexandria via LeMat-Bulk: a relaxed structure of Th3Ga7Tc2 (PBE).

Values from the calculation:
Its uncorrected energy is -68.0 eV/f.u. Its space group is Cmmm. Its formation energy is -0.32 eV/atom. The total moment is 0.00 μB/f.u.

The structure in POSCAR format:
```
Th3Ga7Tc2
1.0
-2.208 -0.357 -4.174
2.200 -4.088 -0.814
-9.811 -3.660 5.503
Th Ga Tc
3 7 2
direct
0.500 0.500 0.000
0.500 0.683 0.366
0.500 0.317 0.634
0.000 0.407 0.813
0.000 0.783 0.565
0.000 0.000 0.000
0.000 0.593 0.187
0.500 0.093 0.186
0.500 0.907 0.814
0.000 0.217 0.435
0.000 0.895 0.790
0.000 0.105 0.210
```

***

(4)
Entry from Alexandria via LeMat-Bulk: a relaxed structure of ThGa2Tc2 (PBE).

Values from the calculation:
Its uncorrected energy is -36.3 eV/f.u. Its space group is Imma. Its formation energy is -0.42 eV/atom. The total moment is 0.00 μB/f.u.

The structure in POSCAR format:
```
ThGa2Tc2
1.0
4.182 0.000 -0.803
-0.157 4.156 -0.816
-0.024 0.030 11.162
Th Ga Tc
2 4 4
direct
0.845 0.595 0.691
0.155 0.405 0.309
0.723 0.973 0.445
0.277 0.027 0.555
0.393 0.143 0.787
0.607 0.857 0.213
0.533 0.283 0.065
0.966 0.216 0.933
0.467 0.717 0.935
0.034 0.784 0.067
```

***

(5)
Entry from Alexandria via LeMat-Bulk: a relaxed structure of Th6Ga3Tc (PBE).

Values from the calculation:
Its uncorrected energy is -65.2 eV/f.u. Its space group is R-3. Its formation energy is -0.12 eV/atom. The total moment is 0.00 μB/f.u.

The structure in POSCAR format:
```
Th6Ga3Tc
1.0
8.304 0.016 0.016
-0.164 8.302 0.016
-0.164 -0.168 8.301
Th Ga Tc
12 6 2
direct
0.236 0.899 0.212
0.101 0.788 0.764
0.565 0.827 0.478
0.788 0.764 0.101
0.478 0.565 0.827
0.173 0.522 0.435
0.827 0.478 0.565
0.522 0.435 0.173
0.212 0.236 0.899
0.435 0.173 0.522
0.899 0.212 0.236
0.764 0.101 0.788
0.444 0.931 0.859
0.931 0.859 0.444
0.141 0.556 0.069
0.859 0.444 0.931
0.069 0.141 0.556
0.556 0.069 0.141
0.000 0.000 0.000
0.500 0.500 0.500
```

***

(6)
Entry from Alexandria via LeMat-Bulk: a relaxed structure of Th3Ga2Tc (PBE).

Values from the calculation:
Its uncorrected energy is -40.9 eV/f.u. Its space group is Pnma. Its formation energy is -0.38 eV/atom. The total moment is 0.00 μB/f.u. The energy above the most stable polymorph in this dataset comes out at 0 meV/atom.

The structure in POSCAR format:
```
Th3Ga2Tc
1.0
4.519 0.000 0.000
0.000 11.004 0.000
0.000 0.000 12.204
Th Ga Tc
12 8 4
direct
0.250 0.384 0.050
0.750 0.616 0.950
0.750 0.884 0.450
0.250 0.116 0.550
0.250 0.705 0.234
0.750 0.295 0.766
0.750 0.205 0.266
0.250 0.795 0.734
0.250 0.440 0.380
0.750 0.560 0.620
0.750 0.940 0.120
0.250 0.060 0.880
0.250 0.697 0.492
0.750 0.303 0.508
0.750 0.197 0.008
0.250 0.803 0.992
0.250 0.000 0.299
0.750 0.000 0.701
0.750 0.500 0.201
0.250 0.500 0.799
0.250 0.140 0.113
0.750 0.860 0.887
0.750 0.640 0.387
0.250 0.360 0.613
```

***

(7)
Entry from Alexandria via LeMat-Bulk: a relaxed structure of ThGaTc (PBE).

Values from the calculation:
Its uncorrected energy is -21.4 eV/f.u. Its space group is I4mm. Its formation energy is -0.18 eV/atom. The total moment is 0.00 μB/f.u. The energy above the most stable polymorph in this dataset comes out at 248 meV/atom.

The structure in POSCAR format:
```
ThGaTc
1.0
3.459 0.000 0.000
0.000 3.459 0.000
-1.729 -1.729 5.126
Th Tc Ga
1 1 1
direct
0.952 0.952 0.904
0.245 0.245 0.489
0.653 0.653 0.307
```

***

(8)
Entry from Alexandria via LeMat-Bulk: a relaxed structure of Th3GaTc2 (PBE).

Values from the calculation:
Its uncorrected energy is -47.1 eV/f.u. Its space group is C2/m. Its formation energy is -0.18 eV/atom. The total moment is 0.00 μB/f.u. The energy above the most stable polymorph in this dataset comes out at 46 meV/atom.

The structure in POSCAR format:
```
Th3GaTc2
1.0
4.625 0.000 0.000
0.000 8.277 -0.180
-2.313 -2.136 7.725
Th Ga Tc
6 2 4
direct
0.239 0.190 0.478
0.073 0.721 0.145
0.388 0.625 0.776
0.761 0.810 0.522
0.612 0.375 0.224
0.927 0.279 0.855
0.416 0.023 0.832
0.584 0.977 0.168
0.193 0.553 0.385
0.807 0.447 0.615
0.936 0.856 0.872
0.064 0.144 0.128
```

***

(9)
Entry from Alexandria via LeMat-Bulk: a relaxed structure of ThGa2Tc (PBE).

Values from the calculation:
Its uncorrected energy is -24.9 eV/f.u. Its space group is P4/mmm. Its formation energy is -0.27 eV/atom. The total moment is 0.00 μB/f.u. The energy above the most stable polymorph in this dataset comes out at 184 meV/atom.

The structure in POSCAR format:
```
ThGa2Tc
1.0
-2.319 -2.383 -0.224
2.083 -1.856 -1.823
2.419 -2.891 5.707
Ga Tc Th
2 1 1
direct
0.000 0.000 0.811
0.000 0.000 0.189
0.500 0.500 0.000
0.500 0.500 0.500
```

***

(10)
Entry from Alexandria via LeMat-Bulk: a relaxed structure of Th4GaTc3 (PBE).

Values from the calculation:
Its uncorrected energy is -65.3 eV/f.u. Its space group is Pmm2. Its formation energy is -0.19 eV/atom. The total moment is 0.00 μB/f.u.

The structure in POSCAR format:
```
Th4GaTc3
1.0
3.752 0.000 0.000
0.000 4.606 0.000
0.000 0.000 10.918
Ga Th Tc
1 4 3
direct
0.500 0.500 0.071
0.500 0.500 0.373
0.000 0.500 0.848
0.000 0.000 0.147
0.500 0.000 0.640
0.000 0.500 0.592
0.000 0.000 0.397
0.500 0.000 0.932
```